VASP calculation (PBE) on a geometry-optimized SmPu structure.

V ... 35.8 Å³/atom
Energy relative to the lowest polymorph listed for this composition ... 1427 meV per atom
Density ... 9.15 Mg/m³

```
SmPu
1.0
0.000 3.296 3.296
3.296 0.000 3.296
3.296 3.296 0.000
Pu Sm
1 1
Direct
0.000 0.000 0.000 Pu
0.250 0.250 0.250 Sm
```